Entry from Alexandria: MgAg3 at its PBEsol-relaxed geometry (meta-GGA SCAN).

Computed properties:
E above lowest polymorph   1 meV/atom
Crystal system   orthorhombic
Energy of formation   -0.158 eV per atom

a = 4.729 Å, b = 5.735 Å, c = 5.000 Å
α = 90.00°, β = 90.00°, γ = 90.00°
Space group Pmmn (No. 59, origin choice 2)
One atom of each set of equivalent atoms:
Mg  0.250  0.250  0.164 x2
Ag  0.250  0.501  0.667 x4
Ag  0.250  0.750  0.171 x2

***

Entry from Alexandria: Sr2LiSI at its PBEsol-relaxed geometry (meta-GGA SCAN).

Computed properties:
Crystal system   tetragonal
Formation energy from raw total energies   -0.18 eV/atom

a = 6.270 Å, b = 6.270 Å, c = 5.363 Å
α = 90.00°, β = 90.00°, γ = 90.00°
Space group P4/mmm (No. 123)
One atom of each set of equivalent atoms:
Sr  0.000  0.500  0.000 x2
Li  0.000  0.000  0.500 x1
S  0.500  0.500  0.500 x1
I  0.500  0.500  0.000 x1

***

Entry from Alexandria: Mn2CdBr at its PBEsol-relaxed geometry (meta-GGA SCAN).

Computed properties:
Crystal system   monoclinic
Formation energy from raw total energies   -0.05 eV/atom

a = 12.766 Å, b = 3.079 Å, c = 4.538 Å
α = 90.00°, β = 90.14°, γ = 90.00°
Space group Cm (No. 8)
One atom of each set of equivalent atoms:
Mn  0.000  0.000  0.000 x2
Mn  0.168  0.500  0.001 x2
Cd  0.047  0.500  0.500 x2
Br  0.328  0.000  0.000 x2

***

Entry from Alexandria: NaNdSe2 at its PBEsol-relaxed geometry (meta-GGA SCAN).

Computed properties:
Crystal system   trigonal
Formation energy from raw total energies   -1.93 eV/atom

a = 4.2252 Å, b = 4.2252 Å, c = 20.6784 Å
α = 90.00°, β = 90.00°, γ = 120.00°
Space group R-3m (No. 166, hexagonal axes)
One atom of each set of equivalent atoms:
Na  0.0000  0.0000  0.0000 x3
Nd  0.0000  0.0000  0.5000 x3
Se  0.0000  0.0000  0.2459 x6

***

Entry from Alexandria: NdHoMg2 at its PBEsol-relaxed geometry (meta-GGA SCAN).

Computed properties:
Crystal system   cubic
Energy of formation   -0.095 eV per atom

a = 7.554 Å, b = 7.554 Å, c = 7.554 Å
α = 90.00°, β = 90.00°, γ = 90.00°
Space group Fm-3m (No. 225)
One atom of each set of equivalent atoms:
Nd  0.000  0.000  0.000 x4
Ho  0.000  0.000  0.500 x4
Mg  0.250  0.250  0.250 x8

***

Entry from Alexandria: ScHg2SbSe at its PBEsol-relaxed geometry (meta-GGA SCAN).

Computed properties:
Crystal system   tetragonal
Formation energy from raw total energies   0.05 eV/atom

a = 5.209 Å, b = 5.209 Å, c = 4.999 Å
α = 90.00°, β = 90.00°, γ = 90.00°
Space group P4/mmm (No. 123)
One atom of each set of equivalent atoms:
Sc  0.000  0.000  0.000 x1
Hg  0.000  0.500  0.500 x2
Sb  0.500  0.500  0.000 x1
Se  0.000  0.000  0.500 x1